(1)
VASP calculation (PBE-GGA) on crystalline KZrGaAu2 at its relaxed geometry.

Geometry as extended XYZ:
```
5
Lattice="4.882 0.000 0.000 0.000 5.267 0.000 0.000 0.000 4.882" Properties=species:S:1:pos:R:3 pbc="T T T"
Ga 0.000 0.000 0.000
Au 2.441 0.000 0.000
Au 0.000 0.000 2.441
Zr 2.441 2.634 2.441
K 0.000 2.634 0.000
```

* DFT formation energy: 0.67 eV per atom

***

(2)
VASP calculation (PBE-GGA) on crystalline Er5ZnRu4 at its relaxed geometry.

Geometry as extended XYZ:
```
10
Lattice="-1.148 2.022 -2.468 -3.129 -1.228 0.450 -3.175 12.342 11.592" Properties=species:S:1:pos:R:3 pbc="T T T"
Er -2.496 1.787 0.296
Er -3.726 6.568 4.787
Er -4.342 8.961 7.034
Er -4.956 11.350 9.278
Er -3.111 4.176 2.540
Ru -1.899 7.381 6.933
Ru -1.276 4.961 4.660
Ru -0.646 2.510 2.358
Ru -2.529 9.831 9.234
Zn 0.000 0.000 0.000
```

* DFT formation energy: -0.42 eV per atom

***

(3)
VASP calculation (PBE-GGA) on crystalline V2GeSe4 at its relaxed geometry.

Geometry as extended XYZ:
```
14
Lattice="-4.270 -4.716 4.290 5.073 -5.640 -1.154 3.134 -3.630 5.995" Properties=species:S:1:pos:R:3 pbc="T T T"
V -0.568 -4.173 5.142
V 0.000 0.000 0.000
V 1.968 -6.993 4.565
V -2.135 -2.358 2.145
Se 5.933 -9.231 6.052
Se -0.180 -6.594 5.931
Se 2.211 -9.498 5.116
Se 4.116 -7.391 3.200
Se 1.726 -4.488 4.015
Se -1.997 -4.755 3.079
Se 3.125 -6.110 6.692
Se 0.811 -7.876 2.439
Ge 1.785 -10.374 7.528
Ge 2.152 -3.612 1.602
```

* formation energy from raw total energies: -3.5 eV/f.u.

***

(4)
VASP calculation (PBE-GGA) on crystalline BAsSBr2 at its relaxed geometry.

Geometry as extended XYZ:
```
5
Lattice="5.261 0.000 0.000 0.000 5.261 0.000 0.000 0.000 4.814" Properties=species:S:1:pos:R:3 pbc="T T T"
B 2.631 2.631 2.407
As 0.000 0.000 2.407
S 0.000 0.000 0.000
Br 0.000 2.631 0.000
Br 2.631 0.000 0.000
```

* distance to the lowest polymorph of the same formula: 0.427 eV/atom
* formation energy from raw total energies: 6.9 eV/f.u.